NdSm7: optimized geometry, PBE-GGA.

a = 7.2632 Å, b = 7.2632 Å, c = 7.2632 Å
α = 60.00°, β = 60.00°, γ = 60.00°
With the nearest neighbours (Å) after each atom.
Fractional coordinates of all 8 atoms:
1 Nd 0.0000 0.0000 0.0000  12 Sm 3.63
2 Sm 0.5000 0.5000 0.0000  2 Nd 3.63, 10 Sm 3.63
3 Sm 0.5000 0.0000 0.5000  10 Sm 3.63, 2 Nd 3.63
4 Sm 0.0000 0.5000 0.5000  10 Sm 3.63, 2 Nd 3.63
5 Sm 0.5000 0.0000 0.0000  10 Sm 3.63, 2 Nd 3.63
6 Sm 0.0000 0.5000 0.0000  10 Sm 3.63, 2 Nd 3.63
7 Sm 0.0000 0.0000 0.5000  10 Sm 3.63, 2 Nd 3.63
8 Sm 0.5000 0.5000 0.5000  12 Sm 3.63

Summary:
DOS(E_F)	1.24	states/eV/atom
formation energy	0.010	eV per atom